## Sm5Hg2O (PBE)

Data for a geometry-optimized Sm5Hg2O structure.

The calculation puts the total energy at -4.345 eV per atom.

It has space group Cmcm (No. 63), with a = 3.753 Å, b = 20.391 Å, c = 13.080 Å, α = 90.00°, β = 90.00° and γ = 90.00°. The asymmetric unit holds Sm at (0.000, 0.075, 0.104), Sm at (0.000, 0.300, 0.750), Sm at (0.000, 0.315, 0.052), Hg at (0.000, 0.076, 0.643) and O at (0.000, 0.133, 0.250).

=====

## Sm7Hg3O2 (PBE)

Data for a geometry-optimized Sm7Hg3O2 structure.

The calculation puts the total energy at -4.824 eV per atom.

It has space group Cmmm (No. 65), with a = 4.916 Å, b = 24.111 Å, c = 4.845 Å, α = 90.00°, β = 90.00° and γ = 90.00°. The asymmetric unit holds Sm at (0.000, 0.000, 0.000), Sm at (0.000, 0.099, 0.500), Sm at (0.000, 0.204, 0.000), Sm at (0.000, 0.398, 0.000), Hg at (0.000, 0.302, 0.500), Hg at (0.000, 0.500, 0.500) and O at (0.000, 0.102, 0.000).

=====

Values of ΔE_f (raw), in order: -0.70; -1.17, all in eV per atom.